1.
Density functional theory data (PBE) for a relaxed K2ScPa2Te6 crystal.

```
K2ScPa2Te6
1.0
-6.477 2.477 -2.799
0.756 -7.214 1.818
-0.812 3.325 8.250
K Sc Pa Te
2 1 2 6
Cartesian
-5.253 0.837 -2.018
-0.468 -5.574 1.036
-0.406 1.662 4.125
-2.052 -2.333 4.409
-4.480 0.921 2.859
-4.840 -1.187 5.091
-0.759 -0.302 6.348
-1.692 -0.225 2.178
-3.068 2.792 4.874
-5.774 -1.110 0.921
-3.465 -4.204 2.395
```

Computed properties:
- Uncorrected formation energy: -1.022 eV per atom



2.
Density functional theory data (PBE) for a relaxed K3Sc3PaTe8 crystal.

```
K3Sc3PaTe8
1.0
-7.993 3.080 -0.652
2.767 -5.968 -5.524
-1.903 -3.033 9.006
K Sc Pa Te
3 3 1 8
Cartesian
0.000 0.000 0.000
1.383 -2.984 -2.762
-2.613 -1.444 -3.088
-4.948 0.023 4.177
-3.565 -2.961 1.415
0.432 -4.501 1.741
-0.952 -1.517 4.503
-1.234 -3.288 -0.404
-5.895 -2.633 3.233
-5.199 -1.655 -0.682
-1.930 -4.266 3.512
-6.528 1.211 1.971
-0.601 -7.133 0.858
-2.689 -0.268 2.284
-4.440 -5.653 0.545
```

Computed properties:
- Uncorrected formation energy: -1.171 eV per atom